No. 1
Computed, not measured: a relaxed structure of SrIn5Au3 at the PBE level of DFT.

Lattice parameters (Å, degrees): 4.531 13.117 14.780 90.00 90.00 90.00
Positions (direct):
1 Sr 0.250 0.904 0.296
2 Sr 0.750 0.096 0.704
3 Sr 0.750 0.404 0.204
4 Sr 0.250 0.596 0.796
5 In 0.250 0.412 0.008
6 In 0.750 0.588 0.992
7 In 0.750 0.912 0.492
8 In 0.250 0.088 0.508
9 In 0.250 0.610 0.306
10 In 0.750 0.390 0.694
11 In 0.750 0.110 0.194
12 In 0.250 0.890 0.806
13 In 0.250 0.024 0.071
14 In 0.750 0.976 0.929
15 In 0.750 0.524 0.429
16 In 0.250 0.476 0.571
17 In 0.250 0.784 0.019
18 In 0.750 0.216 0.981
19 In 0.750 0.284 0.481
20 In 0.250 0.716 0.519
21 In 0.250 0.207 0.314
22 In 0.750 0.793 0.686
23 In 0.750 0.707 0.186
24 In 0.250 0.293 0.814
25 Au 0.250 0.590 0.116
26 Au 0.750 0.410 0.884
27 Au 0.750 0.090 0.384
28 Au 0.250 0.910 0.616
29 Au 0.250 0.237 0.118
30 Au 0.750 0.763 0.882
31 Au 0.750 0.737 0.382
32 Au 0.250 0.263 0.618
33 Au 0.250 0.401 0.383
34 Au 0.750 0.599 0.617
35 Au 0.750 0.901 0.117
36 Au 0.250 0.099 0.883

Uncorrected energy: -3.1818 eV per atom
Space-group type: Pnma (62)
Formation energy: -381 meV/atom
Total moment: 0.0 μB per formula unit


No. 2
Computed, not measured: a relaxed structure of La2Sn2As at the PBE level of DFT.

Lattice parameters (Å, degrees): 8.138 8.138 4.873 90.00 90.00 90.00
Positions (direct):
1 As 0.000 0.000 0.000
2 As 0.500 0.500 0.000
3 Sn 0.125 0.625 0.500
4 Sn 0.625 0.875 0.500
5 Sn 0.875 0.375 0.500
6 Sn 0.375 0.125 0.500
7 La 0.322 0.822 0.000
8 La 0.822 0.678 0.000
9 La 0.678 0.178 0.000
10 La 0.178 0.322 0.000

Uncorrected energy: -5.2230 eV per atom
Space-group type: P4/mbm (127)
Formation energy: -721 meV/atom
Total moment: 0.0 μB per formula unit


No. 3
Computed, not measured: a relaxed structure of HSeBr2 at the PBE level of DFT.

Lattice parameters (Å, degrees): 4.970 4.970 4.970 60.00 60.00 60.00
Last column: magnetic moment on the atom in μB.
Positions (direct):
1 H 0.000 0.000 0.000  0.31
2 Se 0.500 0.500 0.500  -0.72
3 Br 0.250 0.250 0.250  -0.18
4 Br 0.750 0.750 0.750  -0.18

Uncorrected energy: -1.5477 eV per atom
Space-group type: Fm-3m (225)
Total moment: 0.8 μB per formula unit


No. 4
Computed, not measured: a relaxed structure of Ba3MnAs3 at the PBE level of DFT.

Lattice parameters (Å, degrees): 6.906 10.612 13.458 90.00 90.00 108.99
Last column: magnetic moment on the atom in μB.
Positions (direct):
1 Ba 0.670 0.000 0.848  0.04
2 Ba 0.830 0.000 0.348  0.04
3 Ba 0.170 0.000 0.652  0.04
4 Ba 0.330 0.000 0.152  0.04
5 Ba 0.013 0.648 0.369  0.04
6 Ba 0.487 0.352 0.869  0.04
7 Ba 0.865 0.352 0.131  0.04
8 Ba 0.635 0.648 0.631  0.04
9 Ba 0.987 0.352 0.631  0.04
10 Ba 0.513 0.648 0.131  0.04
11 Ba 0.135 0.648 0.869  0.04
12 Ba 0.365 0.352 0.369  0.04
13 Mn 0.417 0.835 0.500  3.54
14 Mn 0.083 0.165 0.000  3.54
15 Mn 0.583 0.165 0.500  3.54
16 Mn 0.917 0.835 0.000  3.54
17 As 0.195 0.000 0.904  -0.07
18 As 0.305 0.000 0.404  -0.07
19 As 0.695 0.000 0.596  -0.07
20 As 0.805 0.000 0.096  -0.07
21 As 0.533 0.688 0.385  -0.04
22 As 0.967 0.312 0.885  -0.04
23 As 0.345 0.312 0.115  -0.04
24 As 0.155 0.688 0.615  -0.04
25 As 0.467 0.312 0.615  -0.04
26 As 0.033 0.688 0.115  -0.04
27 As 0.655 0.688 0.885  -0.04
28 As 0.845 0.312 0.385  -0.04

Uncorrected energy: -5.0242 eV per atom
Space-group type: Cmce (64)
Formation energy: -898 meV/atom
Total moment: 4.0 μB per formula unit


No. 5
Computed, not measured: a relaxed structure of LiAcSmAg at the PBE level of DFT.

Lattice parameters (Å, degrees): 5.474 5.474 5.474 60.00 60.00 60.00
Positions (direct):
1 Ac 0.000 0.000 0.000
2 Ag 0.250 0.250 0.250
3 Sm 0.500 0.500 0.500
4 Li 0.750 0.750 0.750

Uncorrected energy: -3.4420 eV per atom
Space-group type: F-43m (216)
Formation energy: -44 meV/atom
Total moment: 0.0 μB per formula unit


No. 6
Computed, not measured: a relaxed structure of MgZr2ZnN at the PBE level of DFT.

Lattice parameters (Å, degrees): 4.465 4.465 4.240 90.00 90.00 90.00
Positions (direct):
1 Zn 0.500 0.500 0.500
2 Mg 0.000 0.000 0.500
3 Zr 0.000 0.500 0.000
4 Zr 0.500 0.000 0.000
5 N 0.000 0.000 0.000

ΔE_f (raw): -62 kJ/mol of atoms
Uncorrected energy: -6.3043 eV per atom
Space-group type: P4/mmm (123)
Total moment: 0.0 μB per formula unit


No. 7
Computed, not measured: a relaxed structure of LiTi2Cl8 at the PBE level of DFT.

Lattice parameters (Å, degrees): 6.393 7.798 7.798 79.92 88.39 88.39
Last column: magnetic moment on the atom in μB.
Positions (direct):
1 Li 0.000 0.000 0.000  0.00
2 Ti 0.659 0.798 0.798  0.47
3 Ti 0.341 0.202 0.202  0.47
4 Cl 0.200 0.284 0.938  0.00
5 Cl 0.800 0.062 0.716  0.00
6 Cl 0.312 0.824 0.824  -0.01
7 Cl 0.688 0.176 0.176  -0.01
8 Cl 0.200 0.938 0.284  0.00
9 Cl 0.800 0.716 0.062  0.00
10 Cl 0.762 0.621 0.621  -0.01
11 Cl 0.238 0.379 0.379  -0.01

ΔE_f (raw): -151 kJ/mol of atoms
Uncorrected energy: -4.5215 eV per atom
Space-group type: C2/m (12)
Total moment: 1.0 μB per formula unit


No. 8
Computed, not measured: a relaxed structure of CrPtS at the PBE level of DFT.

Lattice parameters (Å, degrees): 2.847 2.847 13.479 83.94 83.94 60.00
Last column: magnetic moment on the atom in μB.
Positions (direct):
1 Cr 0.582 0.582 0.253  0.44
2 Cr 0.418 0.418 0.747  0.44
3 S 0.287 0.287 0.140  -0.03
4 S 0.713 0.713 0.860  -0.03
5 Pt 0.863 0.863 0.411  0.06
6 Pt 0.137 0.137 0.589  0.06

ΔE_f (raw): -28 kJ/mol of atoms
Uncorrected energy: -6.8903 eV per atom
Space-group type: R-3m (166)
Total moment: 0.5 μB per formula unit